## Tb4Ge6Ir7 (GGA-PBEsol)

Data for an optimized crystal structure of Tb4Ge6Ir7.

Cell lengths 7.200, 7.200, 7.200 Å; angles 109.47, 109.47, 109.47 degrees
Atoms (fractional coordinates):
1 Tb 0.000 0.000 0.500
2 Tb 0.000 0.500 0.000
3 Tb 0.500 0.000 0.000
4 Tb 0.500 0.500 0.500
5 Ge 0.000 0.318 0.318
6 Ge 0.000 0.682 0.682
7 Ge 0.318 0.000 0.318
8 Ge 0.318 0.318 0.000
9 Ge 0.682 0.000 0.682
10 Ge 0.682 0.682 0.000
11 Ir 0.000 0.000 0.000
12 Ir 0.250 0.500 0.750
13 Ir 0.250 0.750 0.500
14 Ir 0.500 0.250 0.750
15 Ir 0.500 0.750 0.250
16 Ir 0.750 0.250 0.500
17 Ir 0.750 0.500 0.250

## Properties
space-group type: Im-3m
volume: 287.3 Å³/cell
M_tot: 0.0 μB/cell
VASP energy: -7.864 eV per atom



## Tb3Ge3Ir2 (GGA-PBEsol)

Data for an optimized crystal structure of Tb3Ge3Ir2.

Cell lengths 5.618, 5.618, 14.140 Å; angles 90.00, 90.00, 135.11 degrees
Atoms (fractional coordinates):
1 Tb 0.084 0.916 0.610
2 Tb 0.084 0.916 0.890
3 Tb 0.358 0.642 0.750
4 Tb 0.642 0.358 0.250
5 Tb 0.916 0.084 0.110
6 Tb 0.916 0.084 0.390
7 Ge 0.343 0.657 0.250
8 Ge 0.376 0.624 0.535
9 Ge 0.376 0.624 0.965
10 Ge 0.624 0.376 0.035
11 Ge 0.624 0.376 0.465
12 Ge 0.657 0.343 0.750
13 Ir 0.201 0.799 0.102
14 Ir 0.201 0.799 0.398
15 Ir 0.799 0.201 0.602
16 Ir 0.799 0.201 0.898

## Properties
space-group type: Cmcm
volume: 314.9 Å³/cell
M_tot: 0.0 μB/cell
VASP energy: -7.136 eV per atom



## GeTeIr3 (GGA-PBEsol)

Data for an optimized crystal structure of GeTeIr3.

Cell lengths 4.810, 4.810, 4.810 Å; angles 90.00, 90.00, 90.00 degrees
Atoms (fractional coordinates):
1 Ge 0.000 0.000 0.000
2 Te 0.500 0.500 0.500
3 Ir 0.000 0.500 0.500
4 Ir 0.500 0.000 0.500
5 Ir 0.500 0.500 0.000

## Properties
space-group type: Pm-3m
volume: 111.3 Å³/cell
M_tot: 0.7 μB/cell
VASP energy: -5.813 eV per atom